An optimized crystal structure of TbPm4Y, computed with GGA-PBE.

Computed properties:
As for the calculated formation energy: 1.48 eV/f.u. The energy above the lowest structure with this stoichiometry is 80.6 kJ/mol of formula units.

The structure in POSCAR format:
```
TbPm4Y
1.0
6.668 0.000 0.000
3.334 5.774 0.000
3.334 1.925 5.444
Pm Tb Y
4 1 1
Cartesian
4.999 4.813 3.403
8.337 4.813 3.403
6.668 1.923 3.403
6.668 3.850 0.678
3.334 1.925 1.361
0.000 0.000 0.000
```

An optimized crystal structure of NaSr2Ca, computed with GGA-PBE.

Computed properties:
As for the calculated formation energy: 0.11 eV/f.u. The energy above the lowest structure with this stoichiometry is 3.7 kJ/mol of formula units.

The structure in POSCAR format:
```
NaSr2Ca
1.0
-2.785 -3.404 0.796
2.179 -3.028 -5.330
4.599 -2.933 3.546
Sr Na Ca
2 1 1
Cartesian
2.299 -1.466 1.773
1.090 -1.514 -2.665
-1.392 -1.702 0.398
1.997 -4.683 -0.494
```

An optimized crystal structure of TiZnRh5, computed with GGA-PBE.

Computed properties:
As for the calculated formation energy: -2.08 eV/f.u.

The structure in POSCAR format:
```
TiZnRh5
1.0
-2.034 2.943 7.545
3.074 -7.154 3.015
3.303 -1.457 6.971
Zn Rh Ti
2 10 2
Cartesian
0.000 0.000 0.000
1.651 -0.728 3.485
2.122 -5.135 4.549
0.880 -0.143 10.601
1.628 -2.709 5.440
2.521 -1.938 9.598
2.221 -0.533 12.982
4.856 -6.872 8.860
1.822 -3.730 7.932
-0.513 1.204 8.671
2.715 -2.959 12.091
3.464 -5.525 6.929
3.732 -4.651 9.856
0.611 -1.017 7.674
```

An optimized crystal structure of Cs2CdGaF6, computed with GGA-PBE.

Computed properties:
The calculation puts the formation energy without anion corrections at -2460 meV per atom.

The structure in POSCAR format:
```
Cs2CdGaF6
1.0
6.424 0.000 0.000
0.000 6.430 0.000
0.000 0.000 9.098
F Cs Ga Cd
12 4 2 2
Cartesian
1.828 0.222 4.549
0.000 4.824 7.142
4.596 0.222 4.549
5.040 3.442 0.000
1.384 6.207 0.000
4.596 2.988 4.549
0.000 4.824 1.956
3.212 1.605 2.593
1.828 2.988 4.549
1.384 3.442 0.000
5.040 6.207 0.000
3.212 1.605 6.505
3.212 4.821 6.823
3.212 4.821 2.275
0.000 1.608 6.824
0.000 1.608 2.274
3.212 1.605 4.549
0.000 4.824 0.000
3.212 1.608 0.000
0.000 4.822 4.549
```

An optimized crystal structure of MgTa2HRh, computed with GGA-PBE.

Computed properties:
The calculated total energy comes out at -7.271 eV/atom.

The structure in POSCAR format:
```
MgTa2HRh
1.0
-0.642 -1.695 3.584
3.613 -1.745 -0.178
1.774 3.473 1.960
Rh Ta Mg H
1 2 1 1
Cartesian
2.372 0.017 2.683
1.806 -0.872 -0.089
-0.321 -0.847 1.792
0.887 1.736 0.980
0.000 0.000 0.000
```

An optimized crystal structure of SrErCu2S4, computed with GGA-PBE.

Computed properties:
The calculation puts the formation energy without anion corrections at -1143 meV per atom.

The structure in POSCAR format:
```
SrErCu2S4
1.0
-0.893 4.817 -4.421
-5.496 1.576 -2.097
-1.771 5.616 1.553
S Cu Sr Er
4 2 1 1
Cartesian
-4.614 8.964 -1.894
-4.044 5.729 -5.534
-6.191 4.031 -1.463
-1.472 5.295 -1.039
-2.042 3.003 -1.240
-6.118 9.006 -3.725
-4.080 6.005 -2.482
0.000 0.000 0.000
```

Number 1: total magnetic moment 0.00 μB/f.u.. Number 2: total magnetic moment 0.00 μB/f.u.. Number 3: total magnetic moment 0.00 μB/f.u.. Number 4: total magnetic moment 0.33 μB/f.u.. Number 5: total magnetic moment 0.00 μB/f.u.. Number 6: total magnetic moment 0.00 μB/f.u..